<P>
! LiYO PBE relaxed; values from VASP
! Fermi-level density of states ... 1.06 states/eV/cell
! Symmetry ... P3m1
&SYSTEM
  ibrav = 0, nat = 3, ntyp = 3
/
ATOMIC_SPECIES
Y 88.91 Y.upf
Li 6.94 Li.upf
O 16.00 O.upf
ATOMIC_POSITIONS crystal
Y 0.667 0.333 0.451
Li 0.000 0.000 0.966
O 0.333 0.667 0.583
CELL_PARAMETERS angstrom
3.597 0.000 0.000
-1.799 3.115 0.000
0.000 0.000 5.709



<Q>
! LiYO PBE relaxed; values from VASP
! Fermi-level density of states ... 2.25 states/eV/cell
! Symmetry ... P-1
&SYSTEM
  ibrav = 0, nat = 6, ntyp = 3
/
ATOMIC_SPECIES
O 16.00 O.upf
Y 88.91 Y.upf
Li 6.94 Li.upf
ATOMIC_POSITIONS crystal
O 0.000 0.500 0.500
Y 0.587 0.310 0.677
Li 0.144 0.846 0.792
Y 0.413 0.690 0.323
O 0.000 0.000 0.500
Li 0.856 0.154 0.208
CELL_PARAMETERS angstrom
-0.641 -0.939 -3.085
5.300 -1.611 -0.602
-2.728 -3.877 3.466



<R>
! LiYO PBE relaxed; values from VASP
! Fermi-level density of states ... 4.41 states/eV/cell
! Symmetry ... C2/m
&SYSTEM
  ibrav = 0, nat = 12, ntyp = 3
/
ATOMIC_SPECIES
Li 6.94 Li.upf
O 16.00 O.upf
Y 88.91 Y.upf
ATOMIC_POSITIONS crystal
Li 0.020 0.337 0.039
O 0.749 0.123 0.497
Li 0.541 0.867 0.083
Y 0.190 0.621 0.379
Li 0.980 0.663 0.961
Y 0.815 0.890 0.630
Y 0.185 0.110 0.370
O 0.251 0.877 0.503
Y 0.810 0.379 0.621
O 0.246 0.373 0.493
Li 0.459 0.133 0.917
O 0.754 0.627 0.507
CELL_PARAMETERS angstrom
-1.415 3.102 -1.930
-7.045 -0.948 3.644
3.826 3.607 6.967



Which is the most stable structure? <Q> is the most stable.



<P>
! LiYO PBE relaxed; values from VASP
! Fermi-level density of states ... 0.75 states/eV/cell
! Symmetry ... P-6m2
&SYSTEM
  ibrav = 0, nat = 3, ntyp = 3
/
ATOMIC_SPECIES
O 16.00 O.upf
Li 6.94 Li.upf
Y 88.91 Y.upf
ATOMIC_POSITIONS crystal
O 0.333 0.667 0.000
Li 0.333 0.667 0.500
Y 0.000 0.000 0.000
CELL_PARAMETERS angstrom
-3.468 -1.493 -0.790
2.566 -2.048 2.025
-1.521 1.638 3.583



<Q>
! LiYO PBE relaxed; values from VASP
! Fermi-level density of states ... 5.74 states/eV/cell
! Symmetry ... Cm
&SYSTEM
  ibrav = 0, nat = 12, ntyp = 3
/
ATOMIC_SPECIES
Y 88.91 Y.upf
O 16.00 O.upf
Li 6.94 Li.upf
ATOMIC_POSITIONS crystal
Y 0.811 0.000 0.341
Y 0.811 0.500 0.841
O 0.659 0.500 0.452
O 0.837 0.500 0.201
Y 0.471 0.500 0.045
Li 0.258 0.000 0.789
Li 0.964 0.500 0.607
O 0.659 0.000 0.952
Y 0.471 0.000 0.545
O 0.837 0.000 0.701
Li 0.964 0.000 0.107
Li 0.258 0.500 0.289
CELL_PARAMETERS angstrom
-3.071 -4.690 -0.061
2.741 -1.792 -0.255
2.400 2.141 10.760



Which is the most stable structure? <P> is the most stable.



<P>
! Li3YO PBE relaxed; values from VASP
! Fermi-level density of states ... 4.84 states/eV/cell
! Symmetry ... Pm-3m
&SYSTEM
  ibrav = 0, nat = 5, ntyp = 3
/
ATOMIC_SPECIES
Li 6.94 Li.upf
O 16.00 O.upf
Y 88.91 Y.upf
ATOMIC_POSITIONS crystal
Li 0.000 0.500 0.000
O 0.500 0.500 0.500
Li 0.500 0.000 0.000
Y 0.000 0.000 0.000
Li 0.000 0.000 0.500
CELL_PARAMETERS angstrom
5.726 0.000 0.000
0.000 5.726 0.000
0.000 0.000 5.726



<Q>
! Li3YO PBE relaxed; values from VASP
! Fermi-level density of states ... 4.94 states/eV/cell
! Symmetry ... Pm-3m
&SYSTEM
  ibrav = 0, nat = 5, ntyp = 3
/
ATOMIC_SPECIES
Y 88.91 Y.upf
Li 6.94 Li.upf
O 16.00 O.upf
ATOMIC_POSITIONS crystal
Y 0.500 0.500 0.500
Li 0.500 0.000 0.000
Li 0.000 0.000 0.500
Li 0.000 0.500 0.000
O 0.000 0.000 0.000
CELL_PARAMETERS angstrom
4.285 0.000 0.000
0.000 4.285 0.000
0.000 0.000 4.285



Which is the most stable structure? <Q> is the most stable.



<P>
! Li2Zn2O3 PBE relaxed; values from VASP
! Symmetry ... P2_1/c
&SYSTEM
  ibrav = 0, nat = 14, ntyp = 3
/
ATOMIC_SPECIES
Li 6.94 Li.upf
O 16.00 O.upf
Zn 65.41 Zn.upf
ATOMIC_POSITIONS crystal
Li 0.939 0.283 0.620
O 0.000 0.000 0.500
Zn 0.597 0.698 0.629
Li 0.061 0.717 0.380
Li 0.439 0.283 0.880
O 0.256 0.484 0.866
O 0.500 0.000 0.000
Li 0.561 0.717 0.120
O 0.744 0.516 0.134
Zn 0.403 0.302 0.371
Zn 0.097 0.698 0.871
O 0.756 0.484 0.634
O 0.244 0.516 0.366
Zn 0.903 0.302 0.129
CELL_PARAMETERS angstrom
5.143 -1.026 0.000
-3.304 5.905 0.000
0.000 0.000 5.973



<Q>
! Li2Zn2O3 PBE relaxed; values from VASP
! Symmetry ... C2/m
&SYSTEM
  ibrav = 0, nat = 7, ntyp = 3
/
ATOMIC_SPECIES
O 16.00 O.upf
Zn 65.41 Zn.upf
Li 6.94 Li.upf
ATOMIC_POSITIONS crystal
O 0.783 0.282 0.567
Zn 0.846 0.681 0.692
Li 0.375 0.113 0.750
O 0.217 0.718 0.433
O 0.000 0.000 0.000
Zn 0.154 0.319 0.308
Li 0.625 0.887 0.250
CELL_PARAMETERS angstrom
-2.034 -2.318 -0.331
3.690 -2.901 -2.358
1.239 0.253 5.162



Which is the most stable structure? <Q> is the most stable.